Record 1
## Sr2TlAu (meta-GGA SCAN)

Data for Sr2TlAu at its PBEsol-relaxed geometry.

Calculated total energy (eV per atom): -47.2214
Theoretical density (g cm⁻³): 8.204
Energy above the most stable polymorph in this dataset (meV/atom): 0
Space-group type: P4/mmm (123)
Magnetic moment (μB per formula unit): 0.000

Cell lengths 3.821, 5.527, 5.527 Å; angles 90.03, 90.00, 90.00 degrees
Atoms (fractional coordinates):
Sr (0.000, 0.000, 0.500)
Sr (0.000, 0.500, 0.000)
Tl (0.500, 0.000, 0.000)
Au (0.500, 0.500, 0.500)


Record 2
## YMgTl (meta-GGA SCAN)

Data for YMgTl at its PBEsol-relaxed geometry.

Calculated total energy (eV per atom): -35.2705
Theoretical density (g cm⁻³): 6.916
Space-group type: Imm2 (44)
Magnetic moment (μB per formula unit): 0.000

Cell lengths 3.447, 4.694, 5.540 Å; angles 115.06, 108.12, 90.00 degrees
Atoms (fractional coordinates):
Mg (0.997, 0.997, 0.994)
Tl (0.668, 0.668, 0.337)
Y (0.335, 0.335, 0.669)